{"formula": "CaBeSe2", "functional": "GGA-PBEsol", "state": "optimized geometry", "dos_ef_per_ev_cell": 0.33, "space_group": "No. 71", "raw_formation_energy_ev_per_atom": -0.86, "lattice": [[-1.808, 3.067, 3.758], [1.808, -3.067, 3.758], [1.808, 3.067, -3.758]], "species": ["Ca", "Be", "Se", "Se"], "frac_coords": [[0.000, 0.000, 0.000], [0.500, 0.500, 0.000], [0.300, 0.800, 0.500], [0.700, 0.200, 0.500]]}

***

{"formula": "CaBe2ZnSe", "functional": "GGA-PBEsol", "state": "optimized geometry", "dos_ef_per_ev_cell": 2.46, "space_group": "No. 123", "raw_formation_energy_ev_per_atom": 0.44, "lattice": [[4.371, 0.000, 0.000], [0.000, 4.371, 0.000], [0.000, 0.000, 5.306]], "species": ["Ca", "Be", "Be", "Zn", "Se"], "frac_coords": [[0.000, 0.000, 0.000], [0.000, 0.500, 0.500], [0.500, 0.000, 0.500], [0.500, 0.500, 0.000], [0.000, 0.000, 0.500]]}